Li4Mn3CoO8 | PBE+U | optimized geometry

The space-group type is P-1. The total DFT energy (no corrections) is -6.36 eV per atom. The value obtained for the total magnetization is 14.00 μB per formula unit.

Cell lengths 5.1039, 5.4480, 5.7083 Å; angles 90.01, 106.22, 95.22 degrees
Last column: nearest neighbours and their distance in Å.
Fractional positions:
Li  0.0029  0.2596  0.1241  6 O 2.11-2.35
Li  0.0053  0.2478  0.6277  6 O 2.10-2.25
Li  0.9947  0.7522  0.3723  6 O 2.10-2.25
Li  0.9971  0.7404  0.8759  6 O 2.11-2.35
Mn  0.4999  0.0003  0.2491  4 O 1.96
Mn  0.5001  0.9997  0.7509  4 O 1.96
Mn  0.5000  0.5000  0.5000  4 O 1.96
Co  0.5000  0.5000  0.0000  4 O 1.93
O  0.2668  0.1094  0.4417  2 Mn 1.96, 2 Li 2.11-2.15
O  0.2693  0.6081  0.6959  1 Co 1.93, 1 Mn 1.96, 1 Li 2.12
O  0.2702  0.6089  0.1890  1 Co 1.93, 1 Mn 1.96, 1 Li 2.11
O  0.2713  0.1177  0.9429  2 Mn 1.96, 2 Li 2.10-2.13
O  0.7287  0.8823  0.0571  2 Mn 1.96, 2 Li 2.10-2.13
O  0.7298  0.3911  0.8110  1 Co 1.93, 1 Mn 1.96, 1 Li 2.11
O  0.7307  0.3919  0.3041  1 Co 1.93, 1 Mn 1.96, 1 Li 2.12
O  0.7332  0.8906  0.5583  2 Mn 1.96, 2 Li 2.11-2.15